(1)
Computed, not measured: La2NiAu after structural relaxation at the GGA-PBEsol level of DFT.

Cell lengths 4.5291, 3.9530, 10.9013 Å; angles 90.00, 90.00, 90.00 degrees
Space group Amm2 (No. 38)
Asymmetric unit:
La 0.0000 0.0000 0.0000 [2 per cell]
La 0.5000 0.0000 0.2757 [2 per cell]
Ni 0.5000 0.0000 0.5557 [2 per cell]
Au 0.0000 0.0000 0.7137 [2 per cell]

Computed properties:
Calculated density in g/cm3: 9.1
ΔH_f (0 K) in kcal/mol of atoms: -11.577


(2)
Computed, not measured: ScZn2Mo after structural relaxation at the GGA-PBEsol level of DFT.

Cell lengths 2.8329, 4.2334, 5.3760 Å; angles 90.00, 102.04, 90.00 degrees
Space group Pm (No. 6)
Asymmetric unit:
Sc 0.0000 0.0000 0.0000 [1 per cell]
Zn 0.6030 0.5000 0.2302 [1 per cell]
Zn 0.7005 0.0000 0.4917 [1 per cell]
Mo 0.3218 0.5000 0.7027 [1 per cell]

Computed properties:
Energy above the lowest structure with this stoichiometry in eV/f.u.: 0.00
Calculated density in g/cm3: 7.2
ΔH_f (0 K) in kcal/mol of atoms: 0.388


(3)
Computed, not measured: FeNiSb after structural relaxation at the GGA-PBEsol level of DFT.

Cell lengths 3.3144, 3.3144, 7.6871 Å; angles 90.00, 90.00, 90.00 degrees
Space group I4mm (No. 107)
Asymmetric unit:
Fe 0.0000 0.0000 0.0000 [2 per cell]
Ni 0.0000 0.0000 0.6593 [2 per cell]
Sb 0.0000 0.0000 0.3296 [2 per cell]

Computed properties:
Energy relative to the elements, uncorrected in kJ/mol of atoms: 15
Calculated density in g/cm3: 9.3


(4)
Computed, not measured: ScInBr2 after structural relaxation at the GGA-PBEsol level of DFT.

Cell lengths 3.5377, 4.6583, 5.8178 Å; angles 90.00, 90.00, 90.00 degrees
Space group Pmmm (No. 47)
Asymmetric unit:
Sc 0.0000 0.0000 0.0000 [1 per cell]
In 0.5000 0.0000 0.5000 [1 per cell]
Br 0.0000 0.5000 0.5000 [1 per cell]
Br 0.5000 0.5000 0.0000 [1 per cell]

Computed properties:
Energy relative to the elements, uncorrected in kJ/mol of atoms: -60
Energy above the lowest structure with this stoichiometry in eV/f.u.: 0.92
Calculated density in g/cm3: 5.5


(5)
Computed, not measured: Mg3Hg after structural relaxation at the GGA-PBEsol level of DFT.

Cell lengths 7.9762, 8.3874, 5.3021 Å; angles 90.00, 90.00, 90.00 degrees
Space group Pnma (No. 62)
Asymmetric unit:
Mg 0.0244 0.2500 0.0836 [4 per cell]
Mg 0.1736 0.0651 0.5981 [8 per cell]
Hg 0.1284 0.7500 0.4325 [4 per cell]

Computed properties:
Calculated density in g/cm3: 5.1
ΔH_f (0 K) in kcal/mol of atoms: -4.343


(6)
Computed, not measured: P2S5 after structural relaxation at the GGA-PBEsol level of DFT.

Cell lengths 9.2046, 9.2427, 9.3311 Å; angles 102.60, 93.01, 110.09 degrees
Space group P-1 (No. 2)
Asymmetric unit:
P 0.0654 0.2474 0.2976 [2 per cell]
P 0.1523 0.3075 0.9574 [2 per cell]
P 0.3340 0.6030 0.2739 [2 per cell]
P 0.4216 0.2641 0.1970 [2 per cell]
S 0.0267 0.7994 0.9255 [2 per cell]
S 0.0686 0.2642 0.7530 [2 per cell]
S 0.1006 0.8510 0.5982 [2 per cell]
S 0.1567 0.4944 0.3924 [2 per cell]
S 0.2426 0.1539 0.3128 [2 per cell]
S 0.2427 0.5548 0.0499 [2 per cell]
S 0.3305 0.2148 0.9725 [2 per cell]
S 0.4131 0.8158 0.7851 [2 per cell]
S 0.4190 0.8296 0.3539 [2 per cell]
S 0.4869 0.4882 0.7120 [2 per cell]

Computed properties:
Energy relative to the elements, uncorrected in kJ/mol of atoms: -15
Calculated density in g/cm3: 2.0


(7)
Computed, not measured: KSc3Rh after structural relaxation at the GGA-PBEsol level of DFT.

Cell lengths 5.1221, 5.1221, 5.1221 Å; angles 90.00, 90.00, 90.00 degrees
Space group Pm-3m (No. 221)
Asymmetric unit:
K 0.0000 0.0000 0.0000 [1 per cell]
Sc 0.0000 0.5000 0.5000 [3 per cell]
Rh 0.5000 0.5000 0.5000 [1 per cell]

Computed properties:
Calculated density in g/cm3: 3.4
ΔH_f (0 K) in kcal/mol of atoms: -0.321


(8)
Computed, not measured: BaSr2Li after structural relaxation at the GGA-PBEsol level of DFT.

Cell lengths 4.4205, 6.5627, 12.7998 Å; angles 90.00, 90.00, 90.00 degrees
Space group Imm2 (No. 44)
Asymmetric unit:
Ba 0.0000 0.0000 0.0000 [2 per cell]
Sr 0.0000 0.0000 0.4356 [2 per cell]
Sr 0.0000 0.5000 0.2161 [2 per cell]
Li 0.0000 0.5000 0.7228 [2 per cell]

Computed properties:
Energy above the lowest structure with this stoichiometry in eV/f.u.: 0.13
Calculated density in g/cm3: 2.9
ΔH_f (0 K) in kcal/mol of atoms: 1.215


(9)
Computed, not measured: MnCr2As after structural relaxation at the GGA-PBEsol level of DFT.

Cell lengths 3.6698, 3.6698, 7.1125 Å; angles 90.00, 90.00, 90.00 degrees
Space group I-4m2 (No. 119)
Asymmetric unit:
Mn 0.0000 0.0000 0.0000 [2 per cell]
Cr 0.0000 0.0000 0.5000 [2 per cell]
Cr 0.0000 0.5000 0.7500 [2 per cell]
As 0.0000 0.5000 0.2500 [2 per cell]

Computed properties:
Calculated density in g/cm3: 8.1
ΔH_f (0 K) in kcal/mol of atoms: 0.843


(10)
Computed, not measured: NiCl2 after structural relaxation at the GGA-PBEsol level of DFT.

Cell lengths 3.1336, 12.3024, 7.0596 Å; angles 90.00, 90.00, 90.00 degrees
Space group Cmcm (No. 63)
Asymmetric unit:
Ni 0.0000 0.0617 0.2500 [4 per cell]
Cl 0.0000 0.3193 0.7500 [4 per cell]
Cl 0.0000 0.4426 0.2500 [4 per cell]

Computed properties:
Energy relative to the elements, uncorrected in kJ/mol of atoms: -44
Calculated density in g/cm3: 3.2


(11)
Computed, not measured: Ca2CoO after structural relaxation at the GGA-PBEsol level of DFT.

Cell lengths 6.5128, 6.5128, 7.8429 Å; angles 90.00, 90.00, 90.00 degrees
Space group I-42d (No. 122)
Asymmetric unit:
Ca 0.1689 0.2500 0.1250 [8 per cell]
Co 0.0000 0.0000 0.5000 [4 per cell]
O 0.0000 0.0000 0.0000 [4 per cell]

Computed properties:
Energy relative to the elements, uncorrected in kJ/mol of atoms: -76
Calculated density in g/cm3: 3.1


(12)
Computed, not measured: Ta2MnO6 after structural relaxation at the GGA-PBEsol level of DFT.

Cell lengths 7.0125, 5.7160, 10.7029 Å; angles 90.00, 104.46, 90.00 degrees
Space group P2/c (No. 13)
Asymmetric unit:
Ta 0.0000 0.1440 0.2500 [2 per cell]
Ta 0.1664 0.3387 0.5786 [4 per cell]
Ta 0.5000 0.3154 0.2500 [2 per cell]
Mn 0.3461 0.1791 0.9194 [4 per cell]
O 0.1219 0.3921 0.9503 [4 per cell]
O 0.1392 0.1283 0.4355 [4 per cell]
O 0.1711 0.1195 0.7196 [4 per cell]
O 0.1996 0.3689 0.2174 [4 per cell]
O 0.4454 0.4003 0.6208 [4 per cell]
O 0.4858 0.1129 0.1116 [4 per cell]

Computed properties:
Energy relative to the elements, uncorrected in kJ/mol of atoms: -242
Energy above the lowest structure with this stoichiometry in eV/f.u.: 0.15
Calculated density in g/cm3: 8.2